Here is a relaxed structure of RbCdIn from OQMD. Energies are from PBE.

POSCAR file:
```
RbCdIn
1.0
0.0000 3.9380 3.9380
3.9380 0.0000 3.9380
3.9380 3.9380 0.0000
Cd In Rb
1 1 1
Cartesian
0.0000 0.0000 0.0000
1.9690 1.9690 1.9690
5.9070 5.9070 5.9070
```

Calculated total energy ... -1.374 eV/atom